CoAgW PBEsol relaxed; polymorph energy (0 for the lowest one) = 0 kJ/mol of formula units; magnetization = 1.1 μB/f.u.; symmetry = F-43m (216)
1.0
4.046 0.000 0.000
2.023 3.504 0.000
2.023 1.168 3.304
Co Ag W
1 1 1
direct
0.250 0.250 0.250
0.500 0.500 0.500
0.000 0.000 0.000